Entry from Alexandria via LeMat-Bulk: an optimized crystal structure of Y3Pt4 (PBE).

Properties
Its formation energy is -8.53 eV/f.u.

Cell lengths 7.900, 7.900, 7.900 Å; angles 114.32, 114.32, 114.32 degrees
Fractional positions:
Y  0.027  0.279  0.405
Y  0.279  0.405  0.027
Y  0.405  0.027  0.279
Y  0.595  0.973  0.721
Y  0.721  0.595  0.973
Y  0.973  0.721  0.595
Pt  0.000  0.000  0.000
Pt  0.061  0.552  0.226
Pt  0.226  0.061  0.552
Pt  0.448  0.774  0.939
Pt  0.500  0.500  0.500
Pt  0.552  0.226  0.061
Pt  0.774  0.939  0.448
Pt  0.939  0.448  0.774

***

Entry from Alexandria via LeMat-Bulk: an optimized crystal structure of Tb4SbTe2As (PBE).

Properties
For the formation energy (no corrections), the calculation gives -11.05 eV/f.u.

Cell lengths 7.484, 4.303, 7.556 Å; angles 90.00, 109.19, 90.00 degrees
Fractional positions:
Tb  0.230  0.000  0.223
Tb  0.244  0.500  0.769
Tb  0.756  0.500  0.231
Tb  0.770  0.000  0.777
Sb  0.500  0.000  0.000
Te  0.000  0.000  0.500
Te  0.500  0.500  0.500
As  0.000  0.500  0.000

***

Entry from Alexandria via LeMat-Bulk: an optimized crystal structure of PrErZr (PBE).

Properties
Its formation energy is 0.68 eV/f.u. The calculation puts the energy above the lowest structure with this stoichiometry at 120 meV/atom.

Cell lengths 4.719, 4.719, 8.372 Å; angles 90.00, 90.00, 90.00 degrees
Fractional positions:
Pr  0.250  0.250  0.203
Pr  0.750  0.750  0.797
Er  0.250  0.250  0.773
Er  0.750  0.750  0.227
Zr  0.250  0.750  0.500
Zr  0.750  0.250  0.500

***

Entry from Alexandria via LeMat-Bulk: an optimized crystal structure of Er5Sn2RuRh2 (PBE).

Properties
Its formation energy is -6.41 eV/f.u.

Cell lengths 11.494, 11.494, 3.495 Å; angles 90.00, 90.00, 90.00 degrees
Fractional positions:
Er  0.000  0.500  0.000
Er  0.065  0.194  0.000
Er  0.194  0.935  0.000
Er  0.306  0.435  0.000
Er  0.435  0.694  0.000
Er  0.500  0.000  0.000
Er  0.565  0.306  0.000
Er  0.694  0.565  0.000
Er  0.806  0.065  0.000
Er  0.935  0.806  0.000
Sn  0.178  0.678  0.500
Sn  0.322  0.178  0.500
Sn  0.678  0.822  0.500
Sn  0.822  0.322  0.500
Ru  0.000  0.000  0.500
Ru  0.500  0.500  0.500
Rh  0.136  0.364  0.500
Rh  0.364  0.864  0.500
Rh  0.636  0.136  0.500
Rh  0.864  0.636  0.500

***

Entry from Alexandria via LeMat-Bulk: an optimized crystal structure of Eu2ErAg (PBE).

Properties
Its formation energy is -0.23 eV/f.u. The calculation puts the energy above the lowest structure with this stoichiometry at 0 meV/atom.

Cell lengths 3.757, 3.757, 9.047 Å; angles 90.00, 90.00, 90.00 degrees
Fractional positions:
Eu  0.000  0.000  0.211
Eu  0.000  0.000  0.789
Er  0.500  0.500  0.500
Ag  0.500  0.500  0.000

***

Entry from Alexandria via LeMat-Bulk: an optimized crystal structure of Tm7In4Ga (PBE).

Properties
Its formation energy is -1.73 eV/f.u.

Cell lengths 7.796, 7.796, 11.099 Å; angles 125.62, 125.62, 41.06 degrees
Fractional positions:
Tm  0.000  0.000  0.000
Tm  0.152  0.152  0.587
Tm  0.284  0.284  0.136
Tm  0.428  0.428  0.690
Tm  0.572  0.572  0.310
Tm  0.716  0.716  0.864
Tm  0.848  0.848  0.413
In  0.068  0.068  0.779
In  0.208  0.208  0.345
In  0.792  0.792  0.655
In  0.932  0.932  0.221
Ga  0.500  0.500  0.000

***

Entry from Alexandria via LeMat-Bulk: an optimized crystal structure of Li2CeHo2Pb2 (PBE).

Properties
Its formation energy is -1.89 eV/f.u.

Cell lengths 9.369, 9.369, 9.369 Å; angles 30.28, 30.28, 30.28 degrees
Fractional positions:
Li  0.085  0.085  0.085
Li  0.915  0.915  0.915
Ce  0.500  0.500  0.500
Ho  0.370  0.370  0.370
Ho  0.630  0.630  0.630
Pb  0.239  0.239  0.239
Pb  0.761  0.761  0.761

***

Entry from Alexandria via LeMat-Bulk: an optimized crystal structure of LiPIO2 (PBE).

Properties
The calculation puts the energy above the lowest structure with this stoichiometry at 1322 meV/atom. For the formation energy (no corrections), the calculation gives 2.91 eV/f.u.

Cell lengths 3.895, 3.895, 5.079 Å; angles 90.00, 90.00, 90.00 degrees
Fractional positions:
Li  0.000  0.000  0.000
P  0.500  0.500  0.500
I  0.000  0.000  0.500
O  0.000  0.500  0.000
O  0.500  0.000  0.000

***

Entry from Alexandria via LeMat-Bulk: an optimized crystal structure of Ce4YTm3Se8 (PBE).

Properties
For the formation energy (no corrections), the calculation gives -28.32 eV/f.u.

Cell lengths 8.324, 8.324, 8.324 Å; angles 58.70, 58.70, 58.70 degrees
Fractional positions:
Ce  0.000  0.000  0.000
Ce  0.000  0.500  0.500
Ce  0.500  0.000  0.500
Ce  0.500  0.500  0.000
Y  0.500  0.500  0.500
Tm  0.000  0.000  0.500
Tm  0.000  0.500  0.000
Tm  0.500  0.000  0.000
Se  0.242  0.746  0.746
Se  0.244  0.244  0.244
Se  0.254  0.254  0.758
Se  0.254  0.758  0.254
Se  0.746  0.242  0.746
Se  0.746  0.746  0.242
Se  0.756  0.756  0.756
Se  0.758  0.254  0.254

***

Entry from Alexandria via LeMat-Bulk: an optimized crystal structure of Ca2BI (PBE).

Properties
The calculation puts the energy above the lowest structure with this stoichiometry at 236 meV/atom. For the formation energy (no corrections), the calculation gives 0.89 eV/f.u.

Cell lengths 5.211, 5.211, 5.211 Å; angles 60.00, 60.00, 60.00 degrees
Fractional positions:
Ca  0.250  0.250  0.250
Ca  0.750  0.750  0.750
B  0.000  0.000  0.000
I  0.500  0.500  0.500

***

Entry from Alexandria via LeMat-Bulk: an optimized crystal structure of Sc2Te (PBE).

Properties
For the formation energy (no corrections), the calculation gives -1.55 eV/f.u.

Cell lengths 6.229, 6.229, 6.229 Å; angles 124.82, 124.82, 81.84 degrees
Fractional positions:
Sc  0.064  0.314  0.750
Sc  0.314  0.064  0.250
Sc  0.686  0.936  0.750
Sc  0.936  0.686  0.250
Te  0.375  0.625  0.750
Te  0.625  0.375  0.250

***

Entry from Alexandria via LeMat-Bulk: an optimized crystal structure of Nd2InBr (PBE).

Properties
The calculation puts the energy above the lowest structure with this stoichiometry at 25 meV/atom. For the formation energy (no corrections), the calculation gives -3.03 eV/f.u.

Cell lengths 9.585, 9.585, 9.585 Å; angles 23.18, 23.18, 23.18 degrees
Fractional positions:
Nd  0.249  0.249  0.249
Nd  0.751  0.751  0.751
In  0.000  0.000  0.000
Br  0.500  0.500  0.500